SrLiCl | PBE | relaxed

Offset from the most stable computed form, meV per atom: 36
ΔE_f (raw), kJ/mol of atoms: -98

Unit cell a=4.0328 b=4.0328 c=6.5150 alpha=90.00 beta=90.00 gamma=120.00
Last column: nearest neighbours and their distance in Å.
Space group P3m1 (No. 156)
Symmetry-distinct sites (fractional):
Sr: 0.0000 0.0000 0.0000 [1 per cell]  3 Cl 3.20
Li: 0.3333 0.6667 0.5528 [1 per cell]  3 Cl 2.72
Cl: 0.6667 0.3333 0.3370 [1 per cell]  3 Li 2.72

***

SrLiCl | PBE | relaxed

Offset from the most stable computed form, meV per atom: 79
ΔE_f (raw), kJ/mol of atoms: -94

Unit cell a=3.9860 b=7.1275 c=13.6479 alpha=90.00 beta=90.00 gamma=90.00
Last column: nearest neighbours and their distance in Å.
Space group Fmm2 (No. 42)
Symmetry-distinct sites (fractional):
Sr: 0.0000 0.0000 0.0000 [4 per cell]  2 Cl 3.07
Li: 0.0000 0.0000 0.2819 [4 per cell]  2 Cl 2.50
Cl: 0.0000 0.0000 0.6709 [4 per cell]  2 Li 2.50

***

SrLiCl | PBE | relaxed

Offset from the most stable computed form, meV per atom: 90
ΔE_f (raw), kJ/mol of atoms: -93

Unit cell a=3.8069 b=3.8069 c=15.1991 alpha=90.00 beta=90.00 gamma=90.00
Last column: nearest neighbours and their distance in Å.
Space group I4mm (No. 107)
Symmetry-distinct sites (fractional):
Sr: 0.0000 0.0000 0.0000 [2 per cell]  4 Cl 3.05
Li: 0.0000 0.0000 0.6701 [2 per cell]  4 Sr 3.73, 4 Li 3.81, 1 Cl 4.03
Cl: 0.0000 0.0000 0.4050 [2 per cell]  4 Sr 3.05

***

Sr2LiCl2 | PBE | relaxed

ΔE_f (raw), kJ/mol of atoms: -131

Unit cell a=4.8833 b=4.8833 c=14.9169 alpha=90.00 beta=90.00 gamma=90.00
Last column: nearest neighbours and their distance in Å.
Space group I4/mmm (No. 139)
Symmetry-distinct sites (fractional):
Sr: 0.0000 0.0000 0.1351 [4 per cell]  4 Cl 2.98
Li: 0.0000 0.0000 0.5000 [2 per cell]  8 Sr 4.00, 8 Cl 4.46
Cl: 0.0000 0.5000 0.2500 [4 per cell]  4 Sr 2.98

***

SrLiCl | PBE | relaxed

Offset from the most stable computed form, meV per atom: 0
ΔE_f (raw), kJ/mol of atoms: -102

Unit cell a=4.6674 b=4.6674 c=7.8196 alpha=90.00 beta=90.00 gamma=90.00
Last column: nearest neighbours and their distance in Å.
Space group P4/nmm (No. 129, origin choice 2)
Symmetry-distinct sites (fractional):
Sr: 0.2500 0.2500 0.1631 [2 per cell]  4 Cl 3.52, 5 Li 3.65-3.70
Li: 0.2500 0.2500 0.6368 [2 per cell]  4 Cl 2.57
Cl: 0.2500 0.7500 0.5000 [2 per cell]  4 Li 2.57

***

SrLiCl | PBE | relaxed

Offset from the most stable computed form, meV per atom: 277
ΔE_f (raw), kJ/mol of atoms: -75

Unit cell a=7.1597 b=7.1597 c=7.1597 alpha=90.00 beta=90.00 gamma=90.00
Last column: nearest neighbours and their distance in Å.
Space group F-43m (No. 216)
Symmetry-distinct sites (fractional):
Sr: 0.0000 0.0000 0.0000 [4 per cell]  4 Cl 3.10
Li: 0.0000 0.0000 0.5000 [4 per cell]  4 Cl 3.10
Cl: 0.2500 0.2500 0.7500 [4 per cell]  4 Li 3.10, 4 Sr 3.10

***

Sr6Li3Cl14 | PBE | relaxed

ΔE_f (raw), kJ/mol of atoms: -212

Unit cell a=10.6274 b=10.6274 c=6.1090 alpha=90.00 beta=90.00 gamma=120.00
Last column: nearest neighbours and their distance in Å.
Space group P3 (No. 143)
Symmetry-distinct sites (fractional):
Sr: 0.0350 0.5753 0.0000 [3 per cell]  8 Cl 2.99-3.33
Sr: 0.2967 0.0872 0.5024 [3 per cell]  7 Cl 3.00-3.12
Li: 0.0000 0.0000 0.9289 [1 per cell]  4 Cl 2.29-2.37
Li: 0.3333 0.6667 0.4245 [1 per cell]  4 Cl 2.30-2.37
Li: 0.6667 0.3333 0.2714 [1 per cell]  6 Cl 2.62-2.63
Cl: 0.0000 0.0000 0.3042 [1 per cell]  1 Li 2.29
Cl: 0.0682 0.8403 0.7668 [3 per cell]  1 Li 2.37
Cl: 0.1776 0.4377 0.2641 [3 per cell]  1 Li 2.37
Cl: 0.3333 0.6667 0.8006 [1 per cell]  1 Li 2.30
Cl: 0.4323 0.1801 0.0368 [3 per cell]  1 Li 2.62
Cl: 0.5107 0.4125 0.5056 [3 per cell]  1 Li 2.63

***

SrLi2ThCl8 | PBE | relaxed

ΔE_f (raw), kJ/mol of atoms: -201

Unit cell a=6.2708 b=6.3029 c=8.8300 alpha=89.78 beta=89.77 gamma=86.43
Last column: nearest neighbours and their distance in Å.
Space group P-1 (No. 2)
Symmetry-distinct sites (fractional):
Sr: 0.0000 0.0000 0.0000 [1 per cell]  6 Cl 2.86-2.97
Li: 0.4983 0.4985 0.1897 [2 per cell]  4 Cl 2.40-2.59
Th: 0.0000 0.0000 0.5000 [1 per cell]  6 Cl 2.63-2.75
Cl: 0.2211 0.8010 0.2660 [2 per cell]  1 Li 2.59, 1 Th 2.75
Cl: 0.2212 0.8013 0.7338 [2 per cell]  1 Li 2.59, 1 Th 2.75
Cl: 0.2753 0.2978 0.4980 [2 per cell]  1 Th 2.63
Cl: 0.3008 0.3232 0.9995 [2 per cell]  2 Li 2.40-2.41

***

SrLiTl2Cl5 | PBE | relaxed

ΔE_f (raw), kJ/mol of atoms: -161

Unit cell a=4.3363 b=18.2873 c=13.8961 alpha=90.00 beta=90.00 gamma=90.00
Last column: nearest neighbours and their distance in Å.
Space group Cmc2_1 (No. 36)
Symmetry-distinct sites (fractional):
Sr: 0.0000 0.2002 0.0000 [4 per cell]  6 Cl 2.88-2.94
Li: 0.0000 0.4504 0.3945 [4 per cell]  4 Cl 2.34-2.46
Tl: 0.0000 0.0923 0.6355 [4 per cell]  5 Cl 3.20-3.28
Tl: 0.0000 0.1273 0.3008 [4 per cell]  6 Cl 3.19-3.49
Cl: 0.0000 0.0403 0.9770 [4 per cell]  2 Li 2.46
Cl: 0.0000 0.2889 0.6380 [4 per cell]  2 Sr 2.90
Cl: 0.0000 0.3180 0.3619 [4 per cell]  1 Li 2.46
Cl: 0.0000 0.3561 0.9737 [4 per cell]  1 Sr 2.88
Cl: 0.0000 0.4932 0.7438 [4 per cell]  1 Li 2.34

***

SrLiTl2Cl | PBE | relaxed

ΔE_f (raw), kJ/mol of atoms: 37

Unit cell a=6.4809 b=6.4809 c=6.3927 alpha=90.00 beta=90.00 gamma=90.00
Last column: nearest neighbours and their distance in Å.
Space group P4/mmm (No. 123)
Symmetry-distinct sites (fractional):
Sr: 0.0000 0.0000 0.0000 [1 per cell]  2 Li 3.20, 4 Tl 3.24
Li: 0.0000 0.0000 0.5000 [1 per cell]  2 Sr 3.20
Tl: 0.0000 0.5000 0.0000 [2 per cell]  2 Sr 3.24
Cl: 0.5000 0.5000 0.5000 [1 per cell]  8 Tl 4.55, 4 Li 4.58

***

SrLiYCl6 | PBE | relaxed

ΔE_f (raw), kJ/mol of atoms: -216

Unit cell a=6.7560 b=6.7560 c=12.7381 alpha=90.00 beta=90.00 gamma=120.00
Last column: nearest neighbours and their distance in Å.
Space group P-31c (No. 163)
Symmetry-distinct sites (fractional):
Sr: 0.0000 0.0000 0.0000 [2 per cell]  6 Cl 2.94
Li: 0.3333 0.6667 0.2500 [2 per cell]  6 Cl 2.62
Y: 0.3333 0.6667 0.7500 [2 per cell]  6 Cl 2.66
Cl: 0.0045 0.3572 0.1338 [12 per cell]  1 Li 2.62, 1 Y 2.66

***

Sr2LiZnCl | PBE | relaxed

ΔE_f (raw), kJ/mol of atoms: -27

Unit cell a=6.3673 b=6.3673 c=4.2933 alpha=90.00 beta=90.00 gamma=90.00
Last column: nearest neighbours and their distance in Å.
Space group P4/mmm (No. 123)
Symmetry-distinct sites (fractional):
Sr: 0.0000 0.5000 0.0000 [2 per cell]  2 Li 3.18
Li: 0.0000 0.0000 0.0000 [1 per cell]  2 Cl 2.15
Zn: 0.5000 0.5000 0.5000 [1 per cell]  8 Sr 3.84, 2 Zn 4.29
Cl: 0.0000 0.0000 0.5000 [1 per cell]  2 Li 2.15

***

no.,V (Å³/cell),magnetization (μB per formula unit)
1,92,0.000
2,388,0.236
3,220,0.000
4,356,0.000
5,170,0.000
6,367,0.000
7,598,0.000
8,348,0.070
9,1102,0.000
10,269,0.331
11,504,0.000
12,174,0.000